Material: Pm3Cu8Ag
Method: DFT, PBE
State: optimized geometry

The structure in CIF format:
```
data_Pm3Cu8Ag
_chemical_formula_sum 'Pm9 Cu24 Ag3'
_cell_length_a 5.2186
_cell_length_b 5.2186
_cell_length_c 25.9045
_cell_angle_alpha 90.00
_cell_angle_beta 90.00
_cell_angle_gamma 120.00
_symmetry_space_group_name_H-M 'R 3 m'
_symmetry_Int_Tables_number 160
_symmetry_space_group_name_Hall 'R 3 -2"'
loop_
_atom_site_label
_atom_site_type_symbol
_atom_site_fract_x
_atom_site_fract_y
_atom_site_fract_z
_atom_site_occupancy
Pm1 Pm 0.0000 0.0000 0.0000 1
Pm2 Pm 0.0000 0.0000 0.1277 1
Pm3 Pm 0.0000 0.0000 0.6123 1
Cu1 Cu 0.0000 0.0000 0.3070 1
Cu2 Cu 0.0000 0.0000 0.8090 1
Cu3 Cu 0.0009 0.5005 0.0594 1
Cu4 Cu 0.0086 0.5043 0.5568 1
Ag1 Ag 0.0000 0.0000 0.4923 1
```

Output
ΔE_f = -0.1343 eV/atom
Density of states at the Fermi level = 33.5 states/eV/cell
Uncorrected energy = -154.454 eV/cell

---

Material: Pm2Cu9Ag
Method: DFT, PBE
State: optimized geometry

The structure in CIF format:
```
data_Pm2Cu9Ag
_chemical_formula_sum 'Pm6 Cu27 Ag3'
_cell_length_a 5.1404
_cell_length_b 5.1404
_cell_length_c 24.8355
_cell_angle_alpha 90.00
_cell_angle_beta 90.00
_cell_angle_gamma 120.00
_symmetry_space_group_name_H-M 'R -3 m'
_symmetry_Int_Tables_number 166
_symmetry_space_group_name_Hall '-R 3 2"'
loop_
_atom_site_label
_atom_site_type_symbol
_atom_site_fract_x
_atom_site_fract_y
_atom_site_fract_z
_atom_site_occupancy
Pm1 Pm 0.0000 0.0000 0.1337 1
Cu1 Cu 0.0000 0.0000 0.3329 1
Cu2 Cu 0.0000 0.0000 0.5000 1
Cu3 Cu 0.0011 0.5005 0.9202 1
Ag1 Ag 0.0000 0.0000 0.0000 1
```

Output
ΔE_f = -0.0428 eV/atom
Density of states at the Fermi level = 15.6 states/eV/cell
Uncorrected energy = -149.197 eV/cell

---

Material: PmCuAg
Method: DFT, PBE
State: optimized geometry

The structure in CIF format:
```
data_PmCuAg
_chemical_formula_sum 'Pm4 Cu4 Ag4'
_cell_length_a 6.349
_cell_length_b 5.496
_cell_length_c 7.850
_cell_angle_alpha 90.00
_cell_angle_beta 111.77
_cell_angle_gamma 90.00
_symmetry_space_group_name_H-M 'P 1 21/c 1'
_symmetry_Int_Tables_number 14
_symmetry_space_group_name_Hall '-P 2ybc'
loop_
_atom_site_label
_atom_site_type_symbol
_atom_site_fract_x
_atom_site_fract_y
_atom_site_fract_z
_atom_site_occupancy
Pm1 Pm 0.194 0.117 0.374 1
Cu1 Cu 0.171 0.621 0.517 1
Ag1 Ag 0.411 0.595 0.296 1
```

Output
ΔE_f = -0.2313 eV/atom
Density of states at the Fermi level = 7.7 states/eV/cell
E above lowest polymorph = 0.0163 eV/atom
Uncorrected energy = -49.568 eV/cell

---

Material: PmCuAg
Method: DFT, PBE
State: optimized geometry

The structure in CIF format:
```
data_PmCuAg
_chemical_formula_sum 'Pm4 Cu4 Ag4'
_cell_length_a 6.671
_cell_length_b 6.671
_cell_length_c 6.671
_cell_angle_alpha 90.00
_cell_angle_beta 90.00
_cell_angle_gamma 90.00
_symmetry_space_group_name_H-M 'P 21 3'
_symmetry_Int_Tables_number 198
_symmetry_space_group_name_Hall 'P 2ac 2ab 3'
loop_
_atom_site_label
_atom_site_type_symbol
_atom_site_fract_x
_atom_site_fract_y
_atom_site_fract_z
_atom_site_occupancy
Pm1 Pm 0.021 0.021 0.021 1
Cu1 Cu 0.006 0.994 0.494 1
Ag1 Ag 0.229 0.729 0.771 1
```

Output
ΔE_f = 0.0903 eV/atom
Density of states at the Fermi level = 11.1 states/eV/cell
E above lowest polymorph = 0.3378 eV/atom
Uncorrected energy = -45.709 eV/cell